1.
A plane-wave DFT calculation with PBE was carried out for a relaxed structure of Na2TlGa3I6.

Theoretical density   4.50 g cm⁻³
Crystal system   monoclinic
Formation energy from raw total energies   -15.92 kcal/mol of atoms
Magnetization   0.000 μB/atom

Unit cell a=4.729 b=9.509 c=10.551 alpha=102.43 beta=102.95 gamma=90.00
Positions (direct):
Na: 0.831 0.661 0.662
Na: 0.169 0.339 0.338
Tl: 0.500 0.000 0.000
Ga: 0.500 0.500 0.000
Ga: 0.833 0.168 0.665
Ga: 0.167 0.832 0.335
I: 0.326 0.904 0.652
I: 0.669 0.584 0.338
I: 0.674 0.096 0.348
I: 0.007 0.268 0.013
I: 0.993 0.732 0.987
I: 0.331 0.416 0.662


2.
A plane-wave DFT calculation with PBE was carried out for a relaxed structure of Na2Tl3GaI6.

Theoretical density   5.17 g cm⁻³
Crystal system   monoclinic
Formation energy from raw total energies   -18.49 kcal/mol of atoms
Magnetization   0.000 μB/atom

Unit cell a=4.797 b=9.739 c=10.850 alpha=103.94 beta=102.77 gamma=90.00
Positions (direct):
Na: 0.832 0.666 0.664
Na: 0.168 0.334 0.336
Tl: 0.500 0.500 0.000
Tl: 0.834 0.168 0.668
Tl: 0.166 0.832 0.332
Ga: 0.500 0.000 0.000
I: 0.337 0.901 0.673
I: 0.672 0.569 0.345
I: 0.663 0.099 0.327
I: 0.008 0.241 0.015
I: 0.992 0.759 0.985
I: 0.328 0.431 0.655


3.
A plane-wave DFT calculation with PBE was carried out for a relaxed structure of NaTl2GaI.

Theoretical density   4.19 g cm⁻³
Crystal system   tetragonal
Formation energy from raw total energies   4.92 kcal/mol of atoms
Magnetization   0.000 μB/atom

Unit cell a=6.452 b=5.989 c=6.452 alpha=90.00 beta=90.00 gamma=90.00
Positions (direct):
I: 0.000 0.000 0.000
Na: 0.500 0.500 0.500
Tl: 0.000 0.000 0.500
Tl: 0.500 0.000 0.000
Ga: 0.000 0.500 0.000


4.
A plane-wave DFT calculation with PBE was carried out for a relaxed structure of NaTlGa2I4.

Theoretical density   4.73 g cm⁻³
Crystal system   monoclinic
Formation energy from raw total energies   -14.72 kcal/mol of atoms
Magnetization   0.000 μB/atom

Unit cell a=4.758 b=8.252 c=8.289 alpha=70.67 beta=90.00 gamma=90.00
Positions (direct):
Na: 0.000 0.500 0.500
Tl: 0.500 0.500 0.000
Ga: 0.000 0.000 0.000
Ga: 0.500 0.000 0.500
I: 0.000 0.761 0.734
I: 0.000 0.239 0.266
I: 0.500 0.752 0.261
I: 0.500 0.248 0.739


5.
A plane-wave DFT calculation with PBE was carried out for a relaxed structure of NaTl3Ga2I6.

Theoretical density   5.30 g cm⁻³
Crystal system   monoclinic
Formation energy from raw total energies   -15.00 kcal/mol of atoms
Magnetization   0.000 μB/atom

Unit cell a=8.354 b=8.354 c=8.435 alpha=99.49 beta=99.49 gamma=119.95
Positions (direct):
Na: 0.000 0.000 0.000
Tl: 0.167 0.833 0.500
Tl: 0.833 0.167 0.500
Tl: 0.500 0.500 0.500
Ga: 0.333 0.667 0.000
Ga: 0.667 0.333 0.000
I: 0.925 0.596 0.773
I: 0.748 0.748 0.229
I: 0.075 0.404 0.227
I: 0.596 0.925 0.773
I: 0.252 0.252 0.771
I: 0.404 0.075 0.227


6.
A plane-wave DFT calculation with PBE was carried out for a relaxed structure of NaTmGa2I6.

Theoretical density   4.41 g cm⁻³
Crystal system   trigonal
Formation energy from raw total energies   -21.34 kcal/mol of atoms
Magnetization   0.000 μB/atom

Unit cell a=8.129 b=8.129 c=8.584 alpha=61.73 beta=61.73 gamma=59.98
Positions (direct):
Na: 0.820 0.820 0.541
Tm: 0.326 0.326 0.021
Ga: 0.516 0.516 0.453
Ga: 0.010 0.010 0.969
I: 0.576 0.212 0.249
I: 0.212 0.963 0.249
I: 0.963 0.576 0.249
I: 0.427 0.700 0.762
I: 0.700 0.111 0.762
I: 0.111 0.427 0.762